Record 1
The following is a PBE-GGA calculation of a geometry-optimized La3GeSe6 structure, from Alexandria.

## Properties
DFT total energy (eV per atom): -5.592
V (A^3/atom): 30.4

CIF file:
```
data_La3GeSe6
_symmetry_space_group_name_H-M 'C m c 21'
_symmetry_Int_Tables_number 36
_cell_length_a 11.644
_cell_length_b 14.551
_cell_length_c 7.167
_cell_angle_alpha 90.00
_cell_angle_beta 90.00
_cell_angle_gamma 90.00
loop_
_symmetry_equiv_pos_as_xyz
'x,y,z'
'-x,-y,z+1/2'
'-x,y,z'
'x,-y,z+1/2'
'x+1/2,y+1/2,z'
'-x+1/2,-y+1/2,z+1/2'
'-x+1/2,y+1/2,z'
'x+1/2,-y+1/2,z+1/2'
loop_
_atom_site_label
_atom_site_type_symbol
_atom_site_fract_x
_atom_site_fract_y
_atom_site_fract_z
La1 La 0.000 0.102 0.000
La2 La 0.185 0.401 0.923
Ge1 Ge 0.000 0.304 0.375
Se1 Se 0.000 0.283 0.740
Se2 Se 0.000 0.465 0.228
Se3 Se 0.160 0.025 0.711
Se4 Se 0.167 0.237 0.204
```

***

Record 2
The following is a PBE-GGA calculation of a geometry-optimized La6SiGe2Se3 structure, from Alexandria.

## Properties
DFT total energy (eV per atom): -5.973
V (A^3/atom): 29.9

CIF file:
```
data_La6SiGe2Se3
_symmetry_space_group_name_H-M 'C 1 2/m 1'
_symmetry_Int_Tables_number 12
_cell_length_a 19.137
_cell_length_b 4.384
_cell_length_c 8.785
_cell_angle_alpha 90.00
_cell_angle_beta 103.50
_cell_angle_gamma 90.00
loop_
_symmetry_equiv_pos_as_xyz
'x,y,z'
'-x,-y,-z'
'-x,y,-z'
'x,-y,z'
'x+1/2,y+1/2,z'
'-x+1/2,-y+1/2,-z'
'-x+1/2,y+1/2,-z'
'x+1/2,-y+1/2,z'
loop_
_atom_site_label
_atom_site_type_symbol
_atom_site_fract_x
_atom_site_fract_y
_atom_site_fract_z
La1 La 0.002 0.000 0.243
La2 La 0.164 0.500 0.087
La3 La 0.168 0.500 0.579
Si1 Si 0.000 0.500 0.000
Ge1 Ge 0.167 0.000 0.333
Se1 Se 0.000 0.500 0.500
Se2 Se 0.167 0.000 0.833
```

***

Question: Among the records above, which one has the lowest V?
Answer: La6SiGe2Se3

***

Question: Which value of V does entry 2 give?
Answer: 29.9 A^3/atom

***

Question: Among the records above, which one has the lowest DFT total energy?
Answer: La6SiGe2Se3

***

Question: What is the formula in the first record?
Answer: La3GeSe6